Entry 1:
# BeSiRu2 (GGA-PBEsol, relaxed)
data_BeSiRu2
_symmetry_space_group_name_H-M 'P 4/m m m'
_symmetry_Int_Tables_number 123
_symmetry_space_group_name_Hall '-P 4 2'
_cell_length_a 2.8497
_cell_length_b 2.8497
_cell_length_c 5.6032
_cell_angle_alpha 90.00
_cell_angle_beta 90.00
_cell_angle_gamma 90.00
loop_
_atom_site_label
_atom_site_type_symbol
_atom_site_fract_x
_atom_site_fract_y
_atom_site_fract_z
_atom_site_occupancy
Be1 Be 0.0000 0.0000 0.0000 1
Si1 Si 0.0000 0.0000 0.5000 1
Ru1 Ru 0.5000 0.5000 0.2453 1
# Distance to the lowest polymorph of the same formula, meV/atom: 68.8
# ρ, g/cm³: 8.73
# Total magnetization, μB/f.u.: 0.000
# Electronic total energy, eV/atom: -8.03
# Formation energy (no corrections), meV per atom: -504

***

Entry 2:
# Li2H2Pd (GGA-PBEsol, relaxed)
data_Li2H2Pd
_symmetry_space_group_name_H-M 'I 4/m m m'
_symmetry_Int_Tables_number 139
_symmetry_space_group_name_Hall '-I 4 2'
_cell_length_a 3.0511
_cell_length_b 3.0511
_cell_length_c 10.2430
_cell_angle_alpha 90.00
_cell_angle_beta 90.00
_cell_angle_gamma 90.00
loop_
_atom_site_label
_atom_site_type_symbol
_atom_site_fract_x
_atom_site_fract_y
_atom_site_fract_z
_atom_site_occupancy
Li1 Li 0.0000 0.0000 0.1463 1
H1 H 0.0000 0.0000 0.3370 1
Pd1 Pd 0.0000 0.0000 0.5000 1
# ρ, g/cm³: 4.26
# Total magnetization, μB/f.u.: 0.000
# Electronic total energy, eV/atom: -3.74

***

Entry 3:
# LaTcPO2 (GGA-PBEsol, relaxed)
data_LaTcPO2
_symmetry_space_group_name_H-M 'P 4/m m m'
_symmetry_Int_Tables_number 123
_symmetry_space_group_name_Hall '-P 4 2'
_cell_length_a 3.9699
_cell_length_b 3.9699
_cell_length_c 4.7553
_cell_angle_alpha 90.00
_cell_angle_beta 90.00
_cell_angle_gamma 90.00
loop_
_atom_site_label
_atom_site_type_symbol
_atom_site_fract_x
_atom_site_fract_y
_atom_site_fract_z
_atom_site_occupancy
La1 La 0.0000 0.0000 0.0000 1
Tc1 Tc 0.5000 0.5000 0.5000 1
P1 P 0.5000 0.5000 0.0000 1
O1 O 0.0000 0.5000 0.5000 1
# ρ, g/cm³: 6.64
# Total magnetization, μB/f.u.: 0.000
# Electronic total energy, eV/atom: -7.99
# Formation energy (no corrections), meV per atom: -1414

***

Entry 4:
# MgSb2Pb (GGA-PBEsol, relaxed)
data_MgSb2Pb
_symmetry_space_group_name_H-M 'C m m m'
_symmetry_Int_Tables_number 65
_symmetry_space_group_name_Hall '-C 2 2'
_cell_length_a 4.7606
_cell_length_b 4.7822
_cell_length_c 9.1155
_cell_angle_alpha 90.00
_cell_angle_beta 90.00
_cell_angle_gamma 90.00
loop_
_atom_site_label
_atom_site_type_symbol
_atom_site_fract_x
_atom_site_fract_y
_atom_site_fract_z
_atom_site_occupancy
Mg1 Mg 0.0000 0.0000 0.0000 1
Sb1 Sb 0.0000 0.5000 0.2205 1
Pb1 Pb 0.0000 0.0000 0.5000 1
# Distance to the lowest polymorph of the same formula, meV/atom: 24.2
# ρ, g/cm³: 7.60
# Total magnetization, μB/f.u.: 0.000
# Electronic total energy, eV/atom: -3.76
# Formation energy (no corrections), meV per atom: -48

***

Entry 5:
# YAg2BiP (GGA-PBEsol, relaxed)
data_YAg2BiP
_symmetry_space_group_name_H-M 'P 4/m m m'
_symmetry_Int_Tables_number 123
_symmetry_space_group_name_Hall '-P 4 2'
_cell_length_a 5.0513
_cell_length_b 5.0513
_cell_length_c 5.5280
_cell_angle_alpha 90.00
_cell_angle_beta 90.00
_cell_angle_gamma 90.00
loop_
_atom_site_label
_atom_site_type_symbol
_atom_site_fract_x
_atom_site_fract_y
_atom_site_fract_z
_atom_site_occupancy
Y1 Y 0.0000 0.0000 0.0000 1
Ag1 Ag 0.0000 0.5000 0.5000 1
Bi1 Bi 0.5000 0.5000 0.5000 1
P1 P 0.5000 0.5000 0.0000 1
# ρ, g/cm³: 6.41
# Total magnetization, μB/f.u.: 0.000
# Electronic total energy, eV/atom: -4.08
# Energy relative to the elements, meV per atom: 627

***

Entry 6:
# Mg4Zn2Cu (GGA-PBEsol, relaxed)
data_Mg4Zn2Cu
_symmetry_space_group_name_H-M 'R -3 m'
_symmetry_Int_Tables_number 166
_symmetry_space_group_name_Hall '-R 3 2"'
_cell_length_a 4.4978
_cell_length_b 4.4978
_cell_length_c 21.8147
_cell_angle_alpha 90.00
_cell_angle_beta 90.00
_cell_angle_gamma 120.00
loop_
_atom_site_label
_atom_site_type_symbol
_atom_site_fract_x
_atom_site_fract_y
_atom_site_fract_z
_atom_site_occupancy
Mg1 Mg 0.0000 0.0000 0.1229 1
Mg2 Mg 0.0000 0.0000 0.3732 1
Zn1 Zn 0.0000 0.0000 0.2467 1
Cu1 Cu 0.0000 0.0000 0.5000 1
# ρ, g/cm³: 3.80
# Total magnetization, μB/f.u.: 0.000
# Electronic total energy, eV/atom: -2.07
# Energy relative to the elements, meV per atom: -22

***

Entry 7:
# BePPb2 (GGA-PBEsol, relaxed)
data_BePPb2
_symmetry_space_group_name_H-M 'P 4/m m m'
_symmetry_Int_Tables_number 123
_symmetry_space_group_name_Hall '-P 4 2'
_cell_length_a 4.7862
_cell_length_b 4.7862
_cell_length_c 3.7365
_cell_angle_alpha 90.00
_cell_angle_beta 90.00
_cell_angle_gamma 90.00
loop_
_atom_site_label
_atom_site_type_symbol
_atom_site_fract_x
_atom_site_fract_y
_atom_site_fract_z
_atom_site_occupancy
Be1 Be 0.0000 0.0000 0.0000 1
P1 P 0.5000 0.5000 0.0000 1
Pb1 Pb 0.0000 0.5000 0.5000 1
# Distance to the lowest polymorph of the same formula, meV/atom: 622.4
# ρ, g/cm³: 8.82
# Total magnetization, μB/f.u.: 0.000
# Electronic total energy, eV/atom: -3.86
# Energy relative to the elements, meV per atom: 591

***

Entry 8:
# ZrMo2As (GGA-PBEsol, relaxed)
data_ZrMo2As
_symmetry_space_group_name_H-M 'P 1 m 1'
_symmetry_Int_Tables_number 6
_cell_length_a 3.2239
_cell_length_b 4.3147
_cell_length_c 5.0386
_cell_angle_alpha 90.00
_cell_angle_beta 106.85
_cell_angle_gamma 90.00
loop_
_symmetry_equiv_pos_as_xyz
'x,y,z'
'x,-y,z'
loop_
_atom_site_label
_atom_site_type_symbol
_atom_site_fract_x
_atom_site_fract_y
_atom_site_fract_z
_atom_site_occupancy
Zr1 Zr 0.0000 0.0000 0.0000 1
Mo1 Mo 0.2731 0.5000 0.5929 1
Mo2 Mo 0.6575 0.0000 0.4776 1
As1 As 0.5673 0.5000 0.1512 1
# ρ, g/cm³: 8.86
# Total magnetization, μB/f.u.: 0.000
# Electronic total energy, eV/atom: -9.61
# Energy relative to the elements, meV per atom: -180